{"formula": "CsGa4Ge4", "functional": "PBE", "state": "relaxed", "lattice": [[6.787, 0.000, 0.000], [0.000, 6.787, 0.000], [0.000, 0.000, 9.190]], "species": ["Cs", "Cs", "Ga", "Ga", "Ga", "Ga", "Ga", "Ga", "Ga", "Ga", "Ge", "Ge", "Ge", "Ge", "Ge", "Ge", "Ge", "Ge"], "frac_coords": [[0.000, 0.000, 0.000], [0.500, 0.500, 0.500], [0.231, 0.500, 0.857], [0.769, 0.500, 0.857], [0.500, 0.769, 0.143], [0.500, 0.231, 0.143], [0.000, 0.731, 0.357], [0.000, 0.269, 0.357], [0.269, 0.000, 0.643], [0.731, 0.000, 0.643], [0.500, 0.803, 0.851], [0.500, 0.197, 0.851], [0.803, 0.500, 0.149], [0.197, 0.500, 0.149], [0.303, 0.000, 0.351], [0.697, 0.000, 0.351], [0.000, 0.303, 0.649], [0.000, 0.697, 0.649]], "crystal_system": "tetragonal", "final_energy_ev_per_cell": -62.26, "magnetic_moment_mub_per_fu": 0.00, "ef_mev_per_atom": 33, "polymorph_energy_mev_per_atom": 0}